The following is a DFT calculation (PBE) of an optimized crystal structure of NaPdNO.

Computed properties:
- Final energy: -17.95 eV per formula unit
- Energy above the most stable polymorph in this dataset: 0.332 eV per atom
- Theoretical density: 4.3 g/cm3

Unit cell a=3.8637 b=3.8637 c=8.2079 alpha=90.00 beta=90.00 gamma=90.00
Space group P4/nmm (No. 129, origin choice 2)
Unique sites:
Na (0.2500, 0.2500, 0.1418) [2 per cell]
Pd (0.2500, 0.7500, 0.5000) [2 per cell]
N (0.2500, 0.2500, 0.5978) [2 per cell]
O (0.2500, 0.7500, 0.0000) [2 per cell]